No. 1
This record from Alexandria via LeMat-Bulk describes a geometry-optimized NaMgN structure. The functional is GGA-PBE.

Geometry as POSCAR:
```
NaMgN
1.0
6.630 0.000 0.000
0.000 3.740 0.000
0.000 0.000 6.222
Na Mg N
4 4 4
Direct
0.042 0.250 0.155 Na
0.458 0.750 0.655 Na
0.542 0.250 0.345 Na
0.958 0.750 0.845 Na
0.145 0.250 0.584 Mg
0.355 0.750 0.084 Mg
0.645 0.250 0.916 Mg
0.855 0.750 0.416 Mg
0.187 0.750 0.389 N
0.313 0.250 0.889 N
0.687 0.750 0.111 N
0.813 0.250 0.611 N
```

Computed properties:
M_tot: 0.00 μB per formula unit
SG: Pnma
Total energy: -3.992 eV per atom
Mass density: 2.6 g cm⁻³



No. 2
This record from Alexandria via LeMat-Bulk describes a geometry-optimized TbScGa structure. The functional is GGA-PBE.

Geometry as POSCAR:
```
TbScGa
1.0
3.347 0.000 0.000
0.000 3.347 0.000
0.000 0.000 12.663
Tb Sc Ga
2 2 2
Direct
0.000 0.000 0.000 Tb
0.500 0.500 0.500 Tb
0.000 0.000 0.296 Sc
0.500 0.500 0.796 Sc
0.000 0.000 0.660 Ga
0.500 0.500 0.160 Ga
```

Computed properties:
M_tot: 0.00 μB per formula unit
SG: I4mm
Formation enthalpy at 0 K: -0.373 eV per atom
Energy above the lowest structure with this stoichiometry: 79 meV per atom
Mass density: 6.4 g cm⁻³



No. 3
This record from Alexandria via LeMat-Bulk describes a geometry-optimized Na2HF4 structure. The functional is GGA-PBE.

Geometry as POSCAR:
```
Na2HF4
1.0
6.038 0.000 0.000
0.000 4.115 0.000
-0.948 0.000 6.693
Na H F
4 2 8
Direct
0.216 0.250 0.037 Na
0.257 0.250 0.533 Na
0.743 0.750 0.467 Na
0.784 0.750 0.963 Na
0.388 0.750 0.822 H
0.612 0.250 0.178 H
0.019 0.504 0.269 F
0.019 0.996 0.269 F
0.353 0.750 0.979 F
0.445 0.750 0.660 F
0.555 0.250 0.340 F
0.647 0.250 0.021 F
0.981 0.004 0.731 F
0.981 0.496 0.731 F
```

Computed properties:
M_tot: 0.00 μB per formula unit
SG: P2_1/m
Energy above the lowest structure with this stoichiometry: 25 meV per atom
Mass density: 2.5 g cm⁻³



- Which of these has the lowest mass density?
  Na2HF4